Version a
DFT (PBE) results for crystalline Ag15Pb at its relaxed geometry.

abc: 8.255 43.485 4.108
angles: 90.00 90.00 90.00
Positions (direct):
Ag  0.112  0.144  0.000
Ag  0.112  0.856  0.500
Ag  0.125  0.286  0.500
Ag  0.125  0.333  0.000
Ag  0.125  0.381  0.500
Ag  0.125  0.429  0.000
Ag  0.125  0.476  0.500
Ag  0.125  0.524  0.000
Ag  0.125  0.571  0.500
Ag  0.125  0.619  0.000
Ag  0.125  0.667  0.500
Ag  0.125  0.714  0.000
Ag  0.127  0.238  0.000
Ag  0.127  0.762  0.500
Ag  0.131  0.191  0.500
Ag  0.131  0.809  0.000
Ag  0.375  0.286  0.000
Ag  0.375  0.333  0.500
Ag  0.375  0.381  0.000
Ag  0.375  0.429  0.500
Ag  0.375  0.476  0.000
Ag  0.375  0.524  0.500
Ag  0.375  0.571  0.000
Ag  0.375  0.619  0.500
Ag  0.375  0.667  0.000
Ag  0.375  0.714  0.500
Ag  0.378  0.237  0.500
Ag  0.378  0.763  0.000
Ag  0.381  0.187  0.000
Ag  0.381  0.813  0.500
Ag  0.619  0.187  0.500
Ag  0.619  0.813  0.000
Ag  0.622  0.237  0.000
Ag  0.622  0.763  0.500
Ag  0.625  0.286  0.500
Ag  0.625  0.333  0.000
Ag  0.625  0.381  0.500
Ag  0.625  0.429  0.000
Ag  0.625  0.476  0.500
Ag  0.625  0.524  0.000
Ag  0.625  0.571  0.500
Ag  0.625  0.619  0.000
Ag  0.625  0.667  0.500
Ag  0.625  0.714  0.000
Ag  0.869  0.191  0.000
Ag  0.869  0.809  0.500
Ag  0.873  0.238  0.500
Ag  0.873  0.762  0.000
Ag  0.875  0.286  0.000
Ag  0.875  0.333  0.500
Ag  0.875  0.381  0.000
Ag  0.875  0.429  0.500
Ag  0.875  0.476  0.000
Ag  0.875  0.524  0.500
Ag  0.875  0.571  0.000
Ag  0.875  0.619  0.500
Ag  0.875  0.667  0.000
Ag  0.875  0.714  0.500
Ag  0.888  0.144  0.500
Ag  0.888  0.856  0.000
Pb  0.349  0.129  0.500
Pb  0.349  0.871  0.000
Pb  0.651  0.129  0.000
Pb  0.651  0.871  0.500

- symmetry = Pccm
- volume (Å³ per atom) = 23.04

Version b
DFT (PBE) results for crystalline Ag15Pb at its relaxed geometry.

abc: 5.811 2.940 43.851
angles: 90.00 90.03 90.00
Positions (direct):
Ag  0.120  0.250  0.308
Ag  0.125  0.250  0.024
Ag  0.125  0.250  0.118
Ag  0.125  0.250  0.213
Ag  0.125  0.250  0.740
Ag  0.125  0.250  0.835
Ag  0.125  0.250  0.929
Ag  0.372  0.750  0.692
Ag  0.374  0.750  0.260
Ag  0.374  0.750  0.354
Ag  0.375  0.750  0.071
Ag  0.375  0.750  0.165
Ag  0.375  0.750  0.787
Ag  0.375  0.750  0.882
Ag  0.375  0.750  0.977
Ag  0.625  0.250  0.023
Ag  0.625  0.250  0.118
Ag  0.625  0.250  0.213
Ag  0.625  0.250  0.835
Ag  0.625  0.250  0.929
Ag  0.626  0.250  0.646
Ag  0.626  0.250  0.740
Ag  0.628  0.250  0.308
Ag  0.875  0.750  0.071
Ag  0.875  0.750  0.165
Ag  0.875  0.750  0.260
Ag  0.875  0.750  0.787
Ag  0.875  0.750  0.882
Ag  0.875  0.750  0.976
Ag  0.880  0.750  0.692
Pb  0.126  0.250  0.634
Pb  0.874  0.750  0.366

- symmetry = P2_1/m
- volume (Å³ per atom) = 23.41

Version c
DFT (PBE) results for crystalline Ag15Pb at its relaxed geometry.

abc: 8.089 2.936 35.102
angles: 90.00 90.03 90.00
Positions (direct):
Ag  0.124  0.250  0.233
Ag  0.125  0.250  0.064
Ag  0.125  0.250  0.148
Ag  0.125  0.250  0.317
Ag  0.125  0.250  0.979
Ag  0.126  0.250  0.723
Ag  0.126  0.250  0.894
Ag  0.127  0.250  0.809
Ag  0.374  0.750  0.277
Ag  0.375  0.750  0.021
Ag  0.375  0.750  0.106
Ag  0.375  0.750  0.765
Ag  0.375  0.750  0.851
Ag  0.375  0.750  0.936
Ag  0.376  0.750  0.191
Ag  0.624  0.250  0.809
Ag  0.625  0.250  0.064
Ag  0.625  0.250  0.149
Ag  0.625  0.250  0.235
Ag  0.625  0.250  0.894
Ag  0.625  0.250  0.979
Ag  0.626  0.250  0.723
Ag  0.873  0.750  0.191
Ag  0.874  0.750  0.106
Ag  0.874  0.750  0.277
Ag  0.875  0.750  0.021
Ag  0.875  0.750  0.683
Ag  0.875  0.750  0.852
Ag  0.875  0.750  0.936
Ag  0.876  0.750  0.767
Pb  0.376  0.750  0.670
Pb  0.624  0.250  0.330

- symmetry = P2_1/m
- volume (Å³ per atom) = 26.05

Version d
DFT (PBE) results for crystalline Ag15Pb at its relaxed geometry.

abc: 4.997 35.140 4.994
angles: 90.00 108.35 90.00
Positions (direct):
Ag  0.000  0.021  0.250
Ag  0.000  0.063  0.750
Ag  0.000  0.105  0.250
Ag  0.000  0.147  0.750
Ag  0.000  0.189  0.250
Ag  0.000  0.231  0.750
Ag  0.000  0.275  0.250
Ag  0.000  0.315  0.750
Ag  0.000  0.685  0.250
Ag  0.000  0.725  0.750
Ag  0.000  0.769  0.250
Ag  0.000  0.811  0.750
Ag  0.000  0.853  0.250
Ag  0.000  0.895  0.750
Ag  0.000  0.937  0.250
Ag  0.000  0.979  0.750
Ag  0.500  0.021  0.750
Ag  0.500  0.063  0.250
Ag  0.500  0.105  0.750
Ag  0.500  0.147  0.250
Ag  0.500  0.189  0.750
Ag  0.500  0.232  0.250
Ag  0.500  0.274  0.750
Ag  0.500  0.726  0.250
Ag  0.500  0.768  0.750
Ag  0.500  0.811  0.250
Ag  0.500  0.853  0.750
Ag  0.500  0.895  0.250
Ag  0.500  0.937  0.750
Ag  0.500  0.979  0.250
Pb  0.500  0.326  0.250
Pb  0.500  0.674  0.750

- symmetry = P2/c
- volume (Å³ per atom) = 26.01

Ranked by calculated energy, most stable first: version a, version b, version d, version c.